## Li2NiAsO4 (PBE+U)

Data for Li2NiAsO4 after structural relaxation.

Summary:
Spin magnetization   0.31 μB per atom
E   -84.22 eV/cell

Cell and atoms, written as extended XYZ:
```
16
Lattice="-3.015 3.029 4.196 3.015 -3.029 4.196 3.015 3.029 -4.196" Properties=species:S:1:pos:R:3 pbc="T T T"
Li 0.000 0.000 0.000
Li -1.507 1.514 2.098
Li 0.000 3.029 0.000
Li 1.507 1.514 2.098
Ni 1.507 1.514 -2.098
Ni 1.507 -1.514 2.098
As 3.015 0.000 0.000
As 0.000 0.000 4.196
O 3.015 -0.058 1.978
O 1.600 1.514 -0.003
O 4.429 1.514 -0.003
O 3.015 2.971 -1.978
O 0.000 0.058 6.174
O -1.415 1.514 4.199
O 1.415 1.514 4.199
O 0.000 3.087 2.218
```